VASP calculation (PBE) on Th12In6Os after structural relaxation.

Cell: 8.2014 8.2014 8.2014 Å, 90.39 90.39 90.39°
Last column: nearest neighbours and their distance in Å.
Positions (direct):
Th  0.0176  0.3067  0.9350  5 Th 3.33-3.69, 4 In 3.39-3.44
Th  0.0650  0.9824  0.6933  5 Th 3.33-3.69, 4 In 3.39-3.44
Th  0.1356  0.3587  0.4590  1 Os 3.21, 4 Th 3.29-3.46, 5 In 3.31-3.59
Th  0.3067  0.9350  0.0176  5 Th 3.33-3.69, 4 In 3.39-3.44
Th  0.3587  0.4590  0.1356  1 Os 3.21, 4 Th 3.29-3.46, 5 In 3.31-3.59
Th  0.4590  0.1356  0.3587  1 Os 3.21, 4 Th 3.29-3.46, 5 In 3.31-3.59
Th  0.5410  0.8644  0.6413  1 Os 3.21, 4 Th 3.29-3.46, 5 In 3.31-3.59
Th  0.6413  0.5410  0.8644  1 Os 3.21, 4 Th 3.29-3.46, 5 In 3.31-3.59
Th  0.6933  0.0650  0.9824  5 Th 3.33-3.69, 4 In 3.39-3.44
Th  0.8644  0.6413  0.5410  1 Os 3.21, 4 Th 3.29-3.46, 5 In 3.31-3.59
Th  0.9350  0.0176  0.3067  5 Th 3.33-3.69, 4 In 3.39-3.44
Th  0.9824  0.6933  0.0650  5 Th 3.33-3.69, 4 In 3.39-3.44
In  0.2419  0.7557  0.3890  1 Os 3.13, 2 In 3.26, 8 Th 3.31-3.47
In  0.2443  0.6110  0.7581  1 Os 3.13, 2 In 3.26, 8 Th 3.31-3.47
In  0.3890  0.2419  0.7557  1 Os 3.13, 2 In 3.26, 8 Th 3.31-3.47
In  0.6110  0.7581  0.2443  1 Os 3.13, 2 In 3.26, 8 Th 3.31-3.47
In  0.7557  0.3890  0.2419  1 Os 3.13, 2 In 3.26, 8 Th 3.31-3.47
In  0.7581  0.2443  0.6110  1 Os 3.13, 2 In 3.26, 8 Th 3.31-3.47
Os  0.5000  0.5000  0.5000  6 In 3.13, 6 Th 3.21

Results
energy	-0.2279	hartree per atom
space group	No. 148
magnetic moment	0.00	μB per formula unit

***

VASP calculation (PBE) on Th3InOs2 after structural relaxation.

Cell: 8.4065 8.4065 8.7900 Å, 106.85 106.85 31.91°
Last column: nearest neighbours and their distance in Å.
Positions (direct):
Th  0.0785  0.0785  0.2092  2 Os 2.73-2.78
Th  0.2348  0.2348  0.7101  3 Os 2.82-2.99
Th  0.3964  0.3964  0.1217  5 Os 2.95-3.04
Th  0.6036  0.6036  0.8783  5 Os 2.95-3.04
Th  0.7652  0.7652  0.2899  3 Os 2.82-2.99
Th  0.9215  0.9215  0.7908  2 Os 2.73-2.78
In  0.4088  0.4088  0.5215  4 Os 2.91-3.23, 1 In 3.08
In  0.5912  0.5912  0.4785  4 Os 2.91-3.23, 1 In 3.08
Os  0.0529  0.0529  0.6472  1 Os 2.64, 2 Th 2.78-2.82, 2 In 2.91
Os  0.2074  0.2074  0.0677  6 Th 2.73-3.04
Os  0.7926  0.7926  0.9323  6 Th 2.73-3.04
Os  0.9471  0.9471  0.3528  1 Os 2.64, 2 Th 2.78-2.82, 2 In 2.91

Results
energy	-0.2989	hartree per atom
space group	No. 12
magnetic moment	0.00	μB per formula unit

***

VASP calculation (PBE) on Th3In2Os after structural relaxation.

Cell: 6.9483 6.9483 8.1298 Å, 96.40 96.40 110.63°
Last column: nearest neighbours and their distance in Å.
Positions (direct):
Th  0.0450  0.4091  0.7721  2 Os 2.83-2.91
Th  0.1784  0.1784  0.1787  2 Os 2.88, 2 In 3.17-3.20
Th  0.4091  0.0450  0.7721  2 Os 2.83-2.91
Th  0.5909  0.9550  0.2279  2 Os 2.83-2.91
Th  0.8216  0.8216  0.8213  2 Os 2.88, 2 In 3.17-3.20
Th  0.9550  0.5909  0.2279  2 Os 2.83-2.91
In  0.0000  0.0000  0.5000  6 Th 3.20-3.30
In  0.3728  0.6272  0.5000  1 In 2.91
In  0.5000  0.5000  0.0000  6 Th 3.17-3.29, 2 Os 3.48
In  0.6272  0.3728  0.5000  1 In 2.91
Os  0.1954  0.8046  0.0000  6 Th 2.83-2.91
Os  0.8046  0.1954  0.0000  6 Th 2.83-2.91

Results
energy	-0.2454	hartree per atom
space group	No. 12
magnetic moment	0.00	μB per formula unit

***

VASP calculation (PBE) on Th4In3Os2 after structural relaxation.

Cell: 8.7608 8.7608 6.3408 Å, 92.08 92.08 81.14°
Last column: nearest neighbours and their distance in Å.
Positions (direct):
Th  0.0189  0.7796  0.5144  2 Os 2.89-2.92
Th  0.2204  0.9811  0.9856  2 Os 2.89-2.92
Th  0.2678  0.4308  0.7461  2 Os 2.86-3.05
Th  0.4308  0.2678  0.2461  2 Os 2.86-3.05
Th  0.5692  0.7322  0.7539  2 Os 2.86-3.05
Th  0.7322  0.5692  0.2539  2 Os 2.86-3.05
Th  0.7796  0.0189  0.0144  2 Os 2.89-2.92
Th  0.9811  0.2204  0.4856  2 Os 2.89-2.92
In  0.0167  0.6850  0.0056  2 Os 2.86-2.90
In  0.3150  0.9833  0.4944  2 Os 2.86-2.90
In  0.3559  0.6441  0.2500  2 Os 2.80
In  0.6441  0.3559  0.7500  2 Os 2.80
In  0.6850  0.0167  0.5056  2 Os 2.86-2.90
In  0.9833  0.3150  0.9944  2 Os 2.86-2.90
Os  0.1236  0.4703  0.3361  3 In 2.80-2.90, 4 Th 2.86-3.05, 1 Os 3.03
Os  0.4703  0.1236  0.8361  3 In 2.80-2.90, 4 Th 2.86-3.05, 1 Os 3.03
Os  0.5297  0.8764  0.1639  3 In 2.80-2.90, 4 Th 2.86-3.05, 1 Os 3.03
Os  0.8764  0.5297  0.6639  3 In 2.80-2.90, 4 Th 2.86-3.05, 1 Os 3.03

Results
energy	-0.2540	hartree per atom
space group	No. 15
magnetic moment	0.00	μB per formula unit